(1)
Computed, not measured: a relaxed NdPaMnO6 crystal at the PBE with a Hubbard U level of DFT.

Properties
raw total energy	-75.36	eV/cell
crystal system	trigonal
space-group type	No. 149

Cell lengths 4.815, 5.443, 5.443 Å; angles 120.00, 90.00, 90.00 degrees
Atoms (fractional coordinates):
Nd 0.500 0.667 0.333
Pa 0.000 0.333 0.667
Mn 0.500 0.000 0.000
O 0.736 0.688 0.720
O 0.736 0.280 0.968
O 0.736 0.032 0.312
O 0.264 0.280 0.312
O 0.264 0.688 0.968
O 0.264 0.032 0.720

(2)
Computed, not measured: a relaxed NdMn2PbO5 crystal at the PBE with a Hubbard U level of DFT.

Properties
DOS(E_F)	1.4	states/eV/cell
raw total energy	-65.50	eV/cell
crystal system	tetragonal
space-group type	No. 123

Cell lengths 3.977, 3.977, 7.952 Å; angles 90.00, 90.00, 90.00 degrees
Atoms (fractional coordinates):
Nd 0.000 0.000 0.000
Mn 0.500 0.500 0.240
Mn 0.500 0.500 0.760
Pb 0.000 0.000 0.500
O 0.000 0.500 0.188
O 0.500 0.000 0.188
O 0.000 0.500 0.812
O 0.500 0.000 0.812
O 0.500 0.500 0.500

(3)
Computed, not measured: a relaxed NdMn2PbO8 crystal at the PBE with a Hubbard U level of DFT.

Properties
DOS(E_F)	7.3	states/eV/cell
raw total energy	-79.39	eV/cell
crystal system	trigonal
space-group type	No. 164

Cell lengths 5.750, 5.750, 7.320 Å; angles 90.00, 90.00, 120.00 degrees
Atoms (fractional coordinates):
Nd 0.000 0.000 0.500
Mn 0.667 0.333 0.203
Mn 0.333 0.667 0.797
Pb 0.000 0.000 0.000
O 0.333 0.667 0.021
O 0.341 0.170 0.277
O 0.830 0.171 0.277
O 0.667 0.333 0.979
O 0.170 0.829 0.723
O 0.659 0.830 0.723
O 0.171 0.341 0.723
O 0.829 0.659 0.277

(4)
Computed, not measured: a relaxed NdPuMnO6 crystal at the PBE with a Hubbard U level of DFT.

Properties
raw total energy	-155.48	eV/cell
crystal system	trigonal
space-group type	No. 163

Cell lengths 5.825, 5.825, 8.819 Å; angles 90.00, 90.00, 120.00 degrees
Atoms (fractional coordinates):
Nd 0.333 0.667 0.250
Nd 0.667 0.333 0.750
Pu 0.667 0.333 0.250
Pu 0.333 0.667 0.750
Mn 0.000 0.000 0.000
Mn 0.000 0.000 0.500
O 0.680 0.634 0.128
O 0.954 0.320 0.128
O 0.320 0.954 0.628
O 0.046 0.680 0.872
O 0.366 0.320 0.372
O 0.954 0.634 0.372
O 0.634 0.954 0.872
O 0.680 0.046 0.372
O 0.046 0.366 0.628
O 0.366 0.046 0.128
O 0.634 0.680 0.628
O 0.320 0.366 0.872

(5)
Computed, not measured: a relaxed RbNdMnO3 crystal at the PBE with a Hubbard U level of DFT.

Properties
raw total energy	-82.01	eV/cell
crystal system	monoclinic
space-group type	No. 11

Cell lengths 3.702, 7.745, 10.005 Å; angles 112.10, 90.00, 90.00 degrees
Atoms (fractional coordinates):
Rb 0.750 0.802 0.838
Rb 0.250 0.198 0.162
Nd 0.250 0.672 0.144
Nd 0.750 0.328 0.856
Mn 0.250 0.020 0.618
Mn 0.750 0.980 0.382
O 0.250 0.852 0.403
O 0.750 0.894 0.163
O 0.750 0.464 0.111
O 0.750 0.148 0.597
O 0.250 0.536 0.889
O 0.250 0.106 0.837

(6)
Computed, not measured: a relaxed Nd3Mn2Sb3O14 crystal at the PBE with a Hubbard U level of DFT.

Properties
raw total energy	-160.62	eV/cell
crystal system	trigonal
space-group type	No. 166

Cell lengths 7.368, 7.368, 7.368 Å; angles 61.94, 61.94, 61.94 degrees
Atoms (fractional coordinates):
Nd 0.500 0.500 0.000
Nd 0.000 0.500 0.500
Nd 0.500 0.000 0.500
Mn 0.000 0.000 0.000
Mn 0.500 0.500 0.500
Sb 0.000 0.000 0.500
Sb 0.500 0.000 0.000
Sb 0.000 0.500 0.000
O 0.616 0.616 0.616
O 0.384 0.384 0.384
O 0.320 0.921 0.320
O 0.320 0.320 0.921
O 0.921 0.320 0.320
O 0.680 0.079 0.680
O 0.680 0.680 0.079
O 0.079 0.680 0.680
O 0.908 0.354 0.908
O 0.908 0.908 0.354
O 0.354 0.908 0.908
O 0.092 0.646 0.092
O 0.092 0.092 0.646
O 0.646 0.092 0.092

(7)
Computed, not measured: a relaxed Nd2Mn3Sb3O14 crystal at the PBE with a Hubbard U level of DFT.

Properties
raw total energy	-157.87	eV/cell
crystal system	monoclinic
space-group type	No. 12

Cell lengths 7.264, 7.264, 7.358 Å; angles 61.12, 61.12, 61.66 degrees
Atoms (fractional coordinates):
Nd 0.000 0.500 0.000
Nd 0.500 0.000 0.000
Mn 0.500 0.500 0.500
Mn 0.000 0.000 0.000
Mn 0.000 0.000 0.500
Sb 0.500 0.500 0.000
Sb 0.500 0.000 0.500
Sb 0.000 0.500 0.500
O 0.891 0.891 0.861
O 0.109 0.109 0.139
O 0.589 0.589 0.149
O 0.175 0.175 0.561
O 0.568 0.176 0.585
O 0.172 0.583 0.176
O 0.583 0.172 0.176
O 0.176 0.568 0.585
O 0.411 0.411 0.851
O 0.825 0.825 0.439
O 0.432 0.824 0.415
O 0.828 0.417 0.824
O 0.417 0.828 0.824
O 0.824 0.432 0.415

(8)
Computed, not measured: a relaxed Nd2MnSe2O2 crystal at the PBE with a Hubbard U level of DFT.

Properties
DOS(E_F)	0.0	states/eV/cell
raw total energy	-50.01	eV/cell
crystal system	monoclinic
space-group type	No. 12

Cell lengths 3.924, 6.162, 6.752 Å; angles 67.23, 73.11, 71.43 degrees
Atoms (fractional coordinates):
Nd 0.192 0.363 0.254
Nd 0.808 0.637 0.746
Mn 0.000 0.000 0.000
Se 0.563 0.200 0.674
Se 0.437 0.800 0.326
O 0.199 0.684 0.918
O 0.801 0.316 0.082

(9)
Computed, not measured: a relaxed Nd2MnSiO6 crystal at the PBE with a Hubbard U level of DFT.

Properties
DOS(E_F)	2.2	states/eV/cell
raw total energy	-76.85	eV/cell
crystal system	tetragonal
space-group type	No. 123

Cell lengths 3.787, 5.353, 5.353 Å; angles 90.00, 90.00, 90.00 degrees
Atoms (fractional coordinates):
Nd 0.145 0.500 0.000
Nd 0.145 0.000 0.500
Mn 0.645 0.500 0.500
Si 0.645 0.000 0.000
O 0.645 0.231 0.231
O 0.645 0.231 0.769
O 0.145 0.500 0.500
O 0.145 0.000 0.000
O 0.645 0.769 0.769
O 0.645 0.769 0.231

(10)
Computed, not measured: a relaxed Sr2NdSmMn4O12 crystal at the PBE with a Hubbard U level of DFT.

Properties
DOS(E_F)	2.9	states/eV/cell
raw total energy	-148.49	eV/cell
crystal system	monoclinic
space-group type	No. 8

Cell lengths 5.502, 5.502, 7.818 Å; angles 89.58, 89.58, 89.61 degrees
Atoms (fractional coordinates):
Sr 0.250 0.250 0.001
Sr 0.750 0.750 0.502
Nd 0.241 0.241 0.497
Sm 0.736 0.736 0.998
Mn 0.749 0.249 0.249
Mn 0.249 0.750 0.751
Mn 0.750 0.249 0.751
Mn 0.249 0.749 0.249
O 0.547 0.956 0.763
O 0.044 0.456 0.259
O 0.725 0.296 0.000
O 0.225 0.790 0.500
O 0.296 0.725 0.000
O 0.790 0.225 0.500
O 0.456 0.044 0.259
O 0.956 0.547 0.763
O 0.042 0.042 0.767
O 0.540 0.540 0.267
O 0.952 0.952 0.209
O 0.456 0.456 0.714

(11)
Computed, not measured: a relaxed NdMn2SnO6 crystal at the PBE with a Hubbard U level of DFT.

Properties
raw total energy	-73.93	eV/cell
crystal system	triclinic
space-group type	No. 1

Cell lengths 5.396, 5.494, 5.848 Å; angles 62.05, 64.24, 61.85 degrees
Atoms (fractional coordinates):
Nd 0.801 0.803 0.609
Mn 0.528 0.530 0.418
Mn 0.018 0.008 0.965
Sn 0.320 0.322 0.047
O 0.595 0.228 0.253
O 0.222 0.931 0.226
O 0.933 0.625 0.214
O 0.372 0.716 0.746
O 0.729 0.150 0.769
O 0.143 0.351 0.768

(12)
Computed, not measured: a relaxed SrNdMn4O12 crystal at the PBE with a Hubbard U level of DFT.

Properties
DOS(E_F)	4.7	states/eV/cell
raw total energy	-122.02	eV/cell
crystal system	tetragonal
space-group type	No. 123

Cell lengths 5.370, 5.370, 7.601 Å; angles 90.00, 90.00, 90.00 degrees
Atoms (fractional coordinates):
Sr 0.000 0.000 0.500
Nd 0.500 0.500 0.000
Mn 0.000 0.500 0.748
Mn 0.000 0.500 0.252
Mn 0.500 0.000 0.748
Mn 0.500 0.000 0.252
O 0.256 0.256 0.761
O 0.256 0.256 0.239
O 0.744 0.744 0.761
O 0.744 0.744 0.239
O 0.744 0.256 0.761
O 0.744 0.256 0.239
O 0.256 0.744 0.761
O 0.256 0.744 0.239
O 0.000 0.500 0.500
O 0.000 0.500 0.000
O 0.500 0.000 0.500
O 0.500 0.000 0.000

(13)
Computed, not measured: a relaxed Sr2NdMn3O9 crystal at the PBE with a Hubbard U level of DFT.

Properties
DOS(E_F)	4.6	states/eV/cell
raw total energy	-217.25	eV/cell
crystal system	monoclinic
space-group type	No. 15

Cell lengths 5.549, 5.549, 13.385 Å; angles 88.85, 88.85, 59.10 degrees
Atoms (fractional coordinates):
Sr 0.829 0.836 0.917
Sr 0.164 0.171 0.583
Sr 0.836 0.829 0.417
Sr 0.171 0.164 0.083
Nd 0.499 0.501 0.250
Nd 0.501 0.499 0.750
Mn 0.500 0.500 0.000
Mn 0.832 0.835 0.666
Mn 0.168 0.165 0.334
Mn 0.165 0.168 0.834
Mn 0.500 0.500 0.500
Mn 0.835 0.832 0.166
O 0.069 0.489 0.743
O 0.396 0.804 0.402
O 0.724 0.151 0.077
O 0.276 0.849 0.923
O 0.604 0.196 0.598
O 0.931 0.511 0.257
O 0.804 0.396 0.902
O 0.151 0.724 0.577
O 0.489 0.069 0.243
O 0.511 0.931 0.757
O 0.849 0.276 0.423
O 0.196 0.604 0.098
O 0.357 0.316 0.912
O 0.684 0.643 0.588
O 0.044 0.956 0.250
O 0.956 0.044 0.750
O 0.316 0.357 0.412
O 0.643 0.684 0.088

(14)
Computed, not measured: a relaxed Sr2NdMn2O7 crystal at the PBE with a Hubbard U level of DFT.

Properties
DOS(E_F)	0.4	states/eV/cell
raw total energy	-86.61	eV/cell
E above lowest polymorph	0.000	eV per atom
crystal system	tetragonal
space-group type	No. 139

Cell lengths 10.436, 10.436, 10.436 Å; angles 158.43, 158.43, 30.70 degrees
Atoms (fractional coordinates):
Sr 0.317 0.317 0.000
Sr 0.683 0.683 0.000
Mn 0.903 0.903 0.000
Mn 0.097 0.097 0.000
Nd 0.500 0.500 0.000
O 0.806 0.806 0.000
O 0.194 0.194 0.000
O 0.910 0.410 0.500
O 0.410 0.910 0.500
O 0.090 0.590 0.500
O 0.590 0.090 0.500
O 0.000 0.000 0.000

(15)
Computed, not measured: a relaxed SrNd2MnO5 crystal at the PBE with a Hubbard U level of DFT.

Properties
DOS(E_F)	0.0	states/eV/cell
raw total energy	-135.42	eV/cell
crystal system	tetragonal
space-group type	No. 127

Cell lengths 5.760, 6.762, 6.762 Å; angles 90.00, 90.00, 90.00 degrees
Atoms (fractional coordinates):
Sr 0.000 0.500 0.500
Sr 0.000 0.000 0.000
Nd 0.500 0.673 0.173
Nd 0.500 0.173 0.327
Nd 0.500 0.827 0.673
Nd 0.500 0.327 0.827
Mn 0.000 0.000 0.500
Mn 0.000 0.500 0.000
O 0.500 0.500 0.500
O 0.500 0.000 0.000
O 0.240 0.138 0.638
O 0.240 0.862 0.362
O 0.240 0.362 0.138
O 0.240 0.638 0.862
O 0.760 0.138 0.638
O 0.760 0.638 0.862
O 0.760 0.862 0.362
O 0.760 0.362 0.138

(16)
Computed, not measured: a relaxed Sr3NdMn2O8 crystal at the PBE with a Hubbard U level of DFT.

Properties
DOS(E_F)	0.6	states/eV/cell
raw total energy	-99.02	eV/cell
crystal system	orthorhombic
space-group type	No. 38

Cell lengths 6.778, 6.778, 5.539 Å; angles 90.00, 90.00, 131.88 degrees
Atoms (fractional coordinates):
Sr 0.644 0.356 0.000
Sr 0.358 0.642 0.000
Sr 0.855 0.145 0.500
Nd 0.137 0.863 0.500
Mn 0.499 0.501 0.500
Mn 0.999 0.001 0.000
O 0.842 0.158 0.000
O 0.330 0.670 0.500
O 0.659 0.341 0.500
O 0.161 0.839 0.000
O 0.251 0.242 0.258
O 0.758 0.749 0.742
O 0.251 0.242 0.742
O 0.758 0.749 0.258

(17)
Computed, not measured: a relaxed Sr2NdMnO6 crystal at the PBE with a Hubbard U level of DFT.

Properties
DOS(E_F)	4.7	states/eV/cell
raw total energy	-68.36	eV/cell
crystal system	cubic
space-group type	No. 225

Cell lengths 5.924, 5.924, 5.924 Å; angles 60.00, 60.00, 60.00 degrees
Atoms (fractional coordinates):
Sr 0.250 0.250 0.250
Sr 0.750 0.750 0.750
Nd 0.500 0.500 0.500
Mn 0.000 0.000 0.000
O 0.228 0.772 0.228
O 0.772 0.228 0.772
O 0.772 0.772 0.228
O 0.228 0.228 0.772
O 0.228 0.772 0.772
O 0.772 0.228 0.228

(18)
Computed, not measured: a relaxed Sr2NdMn2O7 crystal at the PBE with a Hubbard U level of DFT.

Properties
DOS(E_F)	1.0	states/eV/cell
raw total energy	-86.57	eV/cell
E above lowest polymorph	0.004	eV per atom
crystal system	tetragonal
space-group type	No. 107

Cell lengths 10.411, 10.411, 10.411 Å; angles 158.30, 158.30, 30.88 degrees
Atoms (fractional coordinates):
Sr 0.506 0.506 0.000
Sr 0.682 0.682 0.000
Mn 0.903 0.903 0.000
Mn 0.099 0.099 0.000
Nd 0.318 0.318 0.000
O 0.804 0.804 0.000
O 0.202 0.202 0.000
O 0.896 0.396 0.500
O 0.396 0.896 0.500
O 0.098 0.598 0.500
O 0.598 0.098 0.500
O 0.999 0.999 0.000